[1]
# meta-GGA SCAN Ag5C, single point on PBEsol structure
data_Ag5C
_chemical_formula_sum 'Ag5 C1'
_cell_length_a 5.2140
_cell_length_b 5.2140
_cell_length_c 4.7050
_cell_angle_alpha 90.00
_cell_angle_beta 90.00
_cell_angle_gamma 120.00
_symmetry_space_group_name_H-M 'P 6/m m m'
_symmetry_Int_Tables_number 191
_symmetry_space_group_name_Hall '-P 6 2'
loop_
_atom_site_label
_atom_site_fract_x
_atom_site_fract_y
_atom_site_fract_z
Ag1 0.0000 0.5000 0.0000
Ag2 0.3333 0.6667 0.5000
C1 0.0000 0.0000 0.5000
# * ρ: 8.3 g/cm3
# * DFT formation energy: 1.2762 eV/atom
# * magnetization: 1.9 μB per formula unit

[2]
# meta-GGA SCAN Na2CdO2, single point on PBEsol structure
data_Na2CdO2
_chemical_formula_sum 'Na16 Cd8 O16'
_cell_length_a 9.2559
_cell_length_b 9.2568
_cell_length_c 9.2625
_cell_angle_alpha 109.34
_cell_angle_beta 109.63
_cell_angle_gamma 109.31
_symmetry_space_group_name_H-M 'P 1'
_symmetry_Int_Tables_number 1
_symmetry_space_group_name_Hall 'P 1'
loop_
_atom_site_label
_atom_site_fract_x
_atom_site_fract_y
_atom_site_fract_z
Na1 0.0000 0.0000 0.0000
Na2 0.0005 0.0517 0.5110
Na3 0.0039 0.2718 0.8286
Na4 0.0312 0.7725 0.2820
Na5 0.0348 0.5831 0.5577
Na6 0.2704 0.4904 0.7728
Na7 0.3021 0.0794 0.3198
Na8 0.3186 0.3101 0.0859
Na9 0.4888 0.4819 0.5277
Na10 0.4915 0.7937 0.7586
Na11 0.4950 0.3080 0.8090
Na12 0.5191 0.0188 0.5805
Na13 0.5451 0.8060 0.2724
Na14 0.7211 0.5271 0.2662
Na15 0.7300 0.7840 0.0540
Na16 0.8024 0.3043 0.0275
Cd1 0.0336 0.2601 0.3165
Cd2 0.2161 0.7535 0.0080
Cd3 0.2249 0.9958 0.7672
Cd4 0.2627 0.5762 0.3046
Cd5 0.5438 0.0629 0.0841
Cd6 0.7533 0.2507 0.5024
Cd7 0.7681 0.8051 0.5854
Cd8 0.8070 0.5489 0.8248
O1 0.0074 0.5016 0.7649
O2 0.0155 0.0123 0.2629
O3 0.0613 0.2980 0.0966
O4 0.2330 0.2465 0.7977
O5 0.2517 0.5279 0.5264
O6 0.2712 0.0219 0.0376
O7 0.2897 0.8090 0.2825
O8 0.4683 0.7847 0.0028
O9 0.5029 0.0630 0.8316
O10 0.5191 0.5796 0.3346
O11 0.5649 0.2872 0.5813
O12 0.7353 0.7483 0.7863
O13 0.7649 0.0370 0.5542
O14 0.7668 0.5420 0.0405
O15 0.7946 0.3025 0.2996
O16 0.9775 0.7919 0.5223
# * ρ: 4.1 g/cm3
# * formation energy (no corrections): -1348 meV/atom
# * magnetization: 0.0 μB per formula unit

[3]
# meta-GGA SCAN ScBiS2, single point on PBEsol structure
data_ScBiS2
_chemical_formula_sum 'Sc3 Bi3 S6'
_cell_length_a 3.6297
_cell_length_b 3.6297
_cell_length_c 25.1060
_cell_angle_alpha 90.00
_cell_angle_beta 90.00
_cell_angle_gamma 120.00
_symmetry_space_group_name_H-M 'R -3 m'
_symmetry_Int_Tables_number 166
_symmetry_space_group_name_Hall '-R 3 2"'
loop_
_atom_site_label
_atom_site_fract_x
_atom_site_fract_y
_atom_site_fract_z
Sc1 0.0000 0.0000 0.0000
Bi1 0.0000 0.0000 0.5000
S1 0.0000 0.0000 0.3904
# * ρ: 5.5 g/cm3
# * formation energy (no corrections): -1373 meV/atom
# * magnetization: 0.0 μB per formula unit

[4]
# meta-GGA SCAN SbWSe2, single point on PBEsol structure
data_SbWSe2
_chemical_formula_sum 'Sb1 W1 Se2'
_cell_length_a 3.1765
_cell_length_b 4.6881
_cell_length_c 5.7743
_cell_angle_alpha 90.00
_cell_angle_beta 92.29
_cell_angle_gamma 90.00
_symmetry_space_group_name_H-M 'P 1 m 1'
_symmetry_Int_Tables_number 6
_symmetry_space_group_name_Hall 'P -2y'
loop_
_atom_site_label
_atom_site_fract_x
_atom_site_fract_y
_atom_site_fract_z
Sb1 0.0000 0.0000 0.0000
W1 0.1309 0.5000 0.2975
Se1 0.1747 0.0000 0.4639
Se2 0.6602 0.5000 0.6340
# * ρ: 9.0 g/cm3
# * formation energy (no corrections): 497 meV/atom
# * magnetization: 0.0 μB per formula unit

> What is the ρ in the first record?

8.3 g/cm3

Please write out number 3 again, unchanged.
# meta-GGA SCAN ScBiS2, single point on PBEsol structure
data_ScBiS2
_chemical_formula_sum 'Sc3 Bi3 S6'
_cell_length_a 3.6297
_cell_length_b 3.6297
_cell_length_c 25.1060
_cell_angle_alpha 90.00
_cell_angle_beta 90.00
_cell_angle_gamma 120.00
_symmetry_space_group_name_H-M 'R -3 m'
_symmetry_Int_Tables_number 166
_symmetry_space_group_name_Hall '-R 3 2"'
loop_
_atom_site_label
_atom_site_fract_x
_atom_site_fract_y
_atom_site_fract_z
Sc1 0.0000 0.0000 0.0000
Bi1 0.0000 0.0000 0.5000
S1 0.0000 0.0000 0.3904
# * ρ: 5.5 g/cm3
# * formation energy (no corrections): -1373 meV/atom
# * magnetization: 0.0 μB per formula unit